No. 1
The following is a DFT calculation (PBE) of a relaxed structure of CaPCl2.

Results
Spin magnetization, μB per cell: 0.000
DFT total energy, Ry per atom: -0.26632
Mass density, g cm⁻³: 2.7

a b c (Å): 3.508 4.274 5.733
angles (deg): 90.00 90.00 90.00
Positions (direct):
Ca1 0.000 0.000 0.000
P1 0.500 0.000 0.500
Cl1 0.000 0.500 0.500
Cl2 0.500 0.500 0.000

***

No. 2
The following is a DFT calculation (PBE) of a relaxed structure of Rb4Tl2SnAs2.

Results
Spin magnetization, μB per cell: 0.000
DFT total energy, Ry per atom: -0.18585
Mass density, g cm⁻³: 4.4

a b c (Å): 7.416 7.416 8.789
angles (deg): 114.90 114.90 89.68
Positions (direct):
Rb1 0.017 0.425 0.251
Rb2 0.425 0.017 0.251
Rb3 0.575 0.983 0.749
Rb4 0.983 0.575 0.749
Tl1 0.449 0.449 0.130
Tl2 0.551 0.551 0.870
Sn1 0.000 0.000 0.500
As1 0.119 0.119 0.860
As2 0.881 0.881 0.140

***

No. 3
The following is a DFT calculation (PBE) of a relaxed structure of Ce2DySn.

Results
Spin magnetization, μB per cell: 1.868
DFT total energy, Ry per atom: -0.36502
Mass density, g cm⁻³: 7.7

a b c (Å): 12.372 12.372 12.372
angles (deg): 15.74 15.74 15.74
Positions (direct):
Ce1 0.087 0.087 0.087
Ce2 0.913 0.913 0.913
Dy1 0.500 0.500 0.500
Sn1 0.000 0.000 0.000

***

No. 4
The following is a DFT calculation (PBE) of a relaxed structure of Rb3UF8.

Results
Spin magnetization, μB per cell: 1.000
DFT total energy, Ry per atom: -0.41629
Mass density, g cm⁻³: 4.5

a b c (Å): 7.571 7.571 7.571
angles (deg): 131.24 131.24 71.43
Positions (direct):
Rb1 0.000 0.000 0.000
Rb2 0.250 0.750 0.500
Rb3 0.750 0.250 0.500
U1 0.500 0.500 0.000
F1 0.191 0.191 0.590
F2 0.191 0.601 0.000
F3 0.399 0.399 0.590
F4 0.399 0.809 0.000
F5 0.601 0.191 0.000
F6 0.601 0.601 0.410
F7 0.809 0.399 0.000
F8 0.809 0.809 0.410

***

No. 5
The following is a DFT calculation (PBE) of a relaxed structure of SrAlIN2.

Results
Spin magnetization, μB per cell: 0.000
DFT total energy, Ry per atom: -0.32977
Mass density, g cm⁻³: 4.7

a b c (Å): 4.140 4.140 5.596
angles (deg): 90.00 90.00 90.00
Positions (direct):
Sr1 0.000 0.000 0.000
Al1 0.500 0.500 0.500
I1 0.500 0.500 0.000
N1 0.000 0.500 0.500
N2 0.500 0.000 0.500

***

No. 6
The following is a DFT calculation (PBE) of a relaxed structure of Ac4Al5Ir2.

Results
Spin magnetization, μB per cell: 0.000
DFT total energy, Ry per atom: -0.37980
Mass density, g cm⁻³: 8.0

a b c (Å): 7.132 4.348 9.576
angles (deg): 90.00 92.22 90.00
Positions (direct):
Ac1 0.179 0.000 0.362
Ac2 0.246 0.000 0.941
Ac3 0.754 0.000 0.059
Ac4 0.821 0.000 0.638
Al1 0.201 0.500 0.667
Al2 0.431 0.500 0.195
Al3 0.500 0.500 0.500
Al4 0.569 0.500 0.805
Al5 0.799 0.500 0.333
Ir1 0.062 0.500 0.152
Ir2 0.938 0.500 0.848

***

> Which value of DFT total energy does entry 1 give?

-0.26632 Ry per atom